Computed, not measured: crystalline RbNaCrCl6 at its relaxed geometry at the PBE level of DFT.

a b c (Å): 6.868 6.868 6.948
angles (deg): 90.01 89.98 59.95
Fractional positions:
Rb 0.000 0.000 0.000
Na 0.666 0.666 0.500
Cr 0.333 0.333 0.500
Cl 0.054 0.345 0.306
Cl 0.345 0.054 0.694
Cl 0.601 0.346 0.694
Cl 0.053 0.601 0.693
Cl 0.346 0.601 0.306
Cl 0.601 0.053 0.307

Output
- space group = P312
- ΔE_f (raw) (eV/atom) = -1.320


Computed, not measured: crystalline NaCdGe at its relaxed geometry at the PBE level of DFT.

a b c (Å): 5.788 6.299 8.667
angles (deg): 113.45 90.00 90.00
Fractional positions:
Na 0.895 0.329 0.130
Na 0.395 0.671 0.370
Na 0.105 0.671 0.870
Na 0.605 0.329 0.630
Cd 0.873 0.906 0.287
Cd 0.373 0.094 0.213
Cd 0.127 0.094 0.713
Cd 0.627 0.906 0.787
Ge 0.097 0.307 0.485
Ge 0.597 0.693 0.015
Ge 0.903 0.693 0.515
Ge 0.403 0.307 0.985

Output
- space group = P2_1/c
- energy of formation from the pure elements (kJ/mol of atoms) = -10.37
- E above lowest polymorph (meV per atom) = 0


Computed, not measured: crystalline Nb2AlReH at its relaxed geometry at the PBE level of DFT.

a b c (Å): 4.179 4.179 3.941
angles (deg): 90.00 90.00 90.00
Fractional positions:
Re 0.000 0.000 0.500
Nb 0.000 0.500 0.000
Nb 0.500 0.000 0.000
Al 0.500 0.500 0.500
H 0.000 0.000 0.000

Output
- space group = P4/mmm
- E above lowest polymorph (meV per atom) = 0


Computed, not measured: crystalline PrSm2Cl at its relaxed geometry at the PBE level of DFT.

a b c (Å): 3.502 3.502 11.593
angles (deg): 81.31 81.31 60.00
Fractional positions:
Pr 0.000 0.000 0.000
Sm 0.101 0.101 0.697
Sm 0.899 0.899 0.303
Cl 0.500 0.500 0.500

Output
- space group = R-3m
- ΔE_f (raw) (eV/atom) = -0.456


Computed, not measured: crystalline La3Ho5Er4 at its relaxed geometry at the PBE level of DFT.

a b c (Å): 5.720 9.326 9.780
angles (deg): 113.92 73.00 72.14
Fractional positions:
La 0.546 0.638 0.270
La 0.000 0.500 0.500
La 0.454 0.362 0.730
Ho 0.729 0.933 0.609
Ho 0.500 0.500 0.500
Ho 0.351 0.241 0.057
Ho 0.649 0.759 0.943
Ho 0.271 0.067 0.391
Er 0.939 0.272 0.850
Er 0.158 0.880 0.803
Er 0.842 0.120 0.197
Er 0.061 0.728 0.150

Output
- space group = C2/m
- energy of formation from the pure elements (kJ/mol of atoms) = 26.77


Computed, not measured: crystalline La12Fe5Ge3 at its relaxed geometry at the PBE level of DFT.

a b c (Å): 14.535 14.535 14.535
angles (deg): 109.47 109.47 109.47
Fractional positions:
Ge 0.750 0.375 0.125
Ge 0.875 0.750 0.125
Ge 0.375 0.750 0.625
Ge 0.250 0.125 0.375
Ge 0.875 0.125 0.250
Ge 0.375 0.625 0.250
Ge 0.625 0.375 0.750
Ge 0.125 0.875 0.750
Ge 0.750 0.875 0.625
Ge 0.625 0.250 0.375
Ge 0.125 0.250 0.875
Ge 0.250 0.625 0.875
Fe 0.125 0.375 0.250
Fe 0.000 0.500 0.000
Fe 0.000 0.000 0.000
Fe 0.375 0.250 0.125
Fe 0.500 0.000 0.500
Fe 0.500 0.500 0.000
Fe 0.125 0.750 0.375
Fe 0.750 0.125 0.875
Fe 0.750 0.625 0.375
Fe 0.375 0.125 0.750
Fe 0.625 0.875 0.250
Fe 0.500 0.500 0.500
Fe 0.500 0.000 0.000
Fe 0.000 0.000 0.500
Fe 0.250 0.375 0.625
Fe 0.250 0.875 0.125
Fe 0.000 0.500 0.500
Fe 0.875 0.250 0.625
Fe 0.625 0.750 0.875
Fe 0.875 0.625 0.750
La 0.706 0.124 0.026
La 0.320 0.526 0.403
La 0.974 0.376 0.294
La 0.526 0.206 0.124
La 0.583 0.706 0.680
La 0.974 0.597 0.180
La 0.320 0.794 0.417
La 0.097 0.917 0.124
La 0.597 0.974 0.680
La 0.706 0.583 0.180
La 0.794 0.474 0.376
La 0.820 0.903 0.026
La 0.124 0.706 0.526
La 0.376 0.403 0.083
La 0.083 0.903 0.376
La 0.417 0.124 0.597
La 0.083 0.180 0.206
La 0.474 0.680 0.097
La 0.820 0.917 0.294
La 0.124 0.417 0.097
La 0.376 0.974 0.794
La 0.597 0.624 0.417
La 0.903 0.820 0.526
La 0.794 0.320 0.917
La 0.403 0.376 0.583
La 0.097 0.180 0.474
La 0.206 0.680 0.083
La 0.180 0.083 0.706
La 0.624 0.026 0.206
La 0.876 0.583 0.903
La 0.526 0.320 0.903
La 0.583 0.876 0.403
La 0.917 0.820 0.794
La 0.917 0.097 0.624
La 0.876 0.294 0.474
La 0.180 0.097 0.974
La 0.624 0.597 0.917
La 0.403 0.026 0.320
La 0.294 0.417 0.820
La 0.206 0.526 0.624
La 0.903 0.083 0.876
La 0.680 0.206 0.583
La 0.474 0.794 0.876
La 0.026 0.403 0.820
La 0.417 0.294 0.320
La 0.026 0.624 0.706
La 0.680 0.474 0.597
La 0.294 0.876 0.974

Output
- space group = Ia-3d
- energy of formation from the pure elements (kJ/mol of atoms) = -3.30


Computed, not measured: crystalline BaLi3Se at its relaxed geometry at the PBE level of DFT.

a b c (Å): 5.170 5.170 5.170
angles (deg): 90.00 90.00 90.00
Fractional positions:
Ba 0.500 0.500 0.500
Se 0.000 0.000 0.000
Li 0.000 0.500 0.000
Li 0.000 0.000 0.500
Li 0.500 0.000 0.000

Output
- space group = Pm-3m
- ΔE_f (raw) (eV/atom) = -0.455
- E above lowest polymorph (meV per atom) = 0


Computed, not measured: crystalline Rb2HfCBr6 at its relaxed geometry at the PBE level of DFT.

a b c (Å): 7.664 7.664 8.031
angles (deg): 61.50 61.50 90.00
Fractional positions:
C 0.500 0.500 0.000
Hf 0.000 0.000 0.000
Br 0.222 0.222 0.556
Br 0.778 0.778 0.444
Br 0.243 0.243 0.000
Br 0.757 0.757 0.000
Br 0.757 0.243 0.000
Br 0.243 0.757 0.000
Rb 0.750 0.250 0.500
Rb 0.250 0.750 0.500

Output
- space group = I4/mmm
- ΔE_f (raw) (eV/atom) = -0.693


Number 1: Fermi-level density of states 1.12 states/eV per atom. Number 2: Fermi-level density of states 0.15 states/eV per atom. Number 3: Fermi-level density of states 0.47 states/eV per atom. Number 4: Fermi-level density of states 1.51 states/eV per atom. Number 5: Fermi-level density of states 1.47 states/eV per atom. Number 6: Fermi-level density of states 0.83 states/eV per atom. Number 7: Fermi-level density of states 0.55 states/eV per atom. Number 8: Fermi-level density of states 0.27 states/eV per atom.